Compound: ErLuPb
Source: Alexandria via LeMat-Bulk
Functional: PBE
Structure: optimized geometry

As for the total DFT energy (no corrections): -4.435 eV/atom. For the polymorph energy (0 for the lowest one), the calculation gives 118 meV/atom. The formation energy from the elements comes out at -0.171 eV per atom. For the spin magnetization, the calculation gives 0.00 μB per cell.

It has space group P3m1 (No. 156), with a = 5.2503 Å, b = 5.2503 Å, c = 3.6563 Å, α = 90.00°, β = 90.00° and γ = 120.00°. Symmetry generates all atoms from Er at (0.0000, 0.0000, 0.0000), Lu at (0.6667, 0.3333, 0.4645) and Pb at (0.3333, 0.6667, 0.6924).